CeLuTc2 | PBE-GGA | relaxed

Results
M_tot ... 0.0 μB per formula unit
Raw total energy ... -31.4 eV/cell
ρ ... 10.868 g/cm³
Relative energy among the computed polymorphs ... 13 meV per atom
Space group ... Fm-3m (225)
Energy relative to the elements ... -0.17 eV/f.u.

a b c (Å): 4.798 4.798 4.798
angles (deg): 60.00 60.00 60.00
Fractional coordinates of all 4 atoms:
Ce: 0.000 0.000 0.000
Lu: 0.500 0.500 0.500
Tc: 0.250 0.250 0.250
Tc: 0.750 0.750 0.750

CeLuTc | PBE-GGA | relaxed

Results
M_tot ... 0.0 μB per formula unit
Raw total energy ... -20.7 eV/cell
ρ ... 10.446 g/cm³
Relative energy among the computed polymorphs ... 134 meV per atom
Space group ... P3m1 (156)
Energy relative to the elements ... 0.09 eV/f.u.

a b c (Å): 4.714 4.714 3.413
angles (deg): 90.00 90.00 120.00
Fractional coordinates of all 3 atoms:
Ce: 0.000 0.000 0.000
Lu: 0.667 0.333 0.439
Tc: 0.333 0.667 0.775